1.
10
Lattice="-0.162 0.183 -4.412 2.321 -3.752 -0.241 -12.558 -7.778 0.139" Properties=species:S:1:pos:R:3 comment="SmSnTe2S PBE-GGA relaxed" final_energy_ev_per_atom=-4.76 spacegroup="No. 129" e_form_raw_ev_per_atom=-0.93 density_g_cm3=6.4 crystal_system=tetragonal pbc="T T T"
Sm -7.867 -4.731 -2.120
Sm -3.612 -4.832 -0.067
Sn -1.326 -0.680 -2.192
Sn -10.153 -8.883 0.005
Te -7.653 -7.335 -0.022
Te -0.367 -2.822 -0.103
Te -11.111 -6.741 -2.083
Te -3.825 -2.228 -2.164
S -6.279 -3.889 0.070
S -5.199 -5.674 -2.256

***

2.
12
Lattice="-1.991 -2.235 -3.046 -4.530 -4.278 6.099 -4.286 8.710 -0.597" Properties=species:S:1:pos:R:3 comment="Sm6SnTe3S2 PBE-GGA relaxed" final_energy_ev_per_atom=-5.66 spacegroup="No. 12" e_form_raw_ev_per_atom=-1.50 density_g_cm3=7.1 crystal_system=monoclinic pbc="T T T"
Sm -7.525 1.256 3.996
Sm -5.412 -0.832 1.154
Sm -3.282 0.942 -1.540
Sm -1.285 -0.874 1.481
Sm -9.521 3.071 0.975
Sm -5.394 3.030 1.302
Sn -0.995 -1.118 -1.523
Te -3.260 -3.256 1.526
Te -5.329 3.281 -1.920
Te -5.478 -1.084 4.375
S -7.499 1.070 1.121
S -3.308 1.127 1.334

***

3.
12
Lattice="7.098 -0.003 0.003 -3.550 6.147 0.003 -1.181 -2.044 7.453" Properties=species:S:1:pos:R:3 comment="Sm2Tl3SnS6 PBE-GGA relaxed" final_energy_ev_per_atom=-4.86 spacegroup="No. 12" e_form_raw_ev_per_atom=-1.08 density_g_cm3=6.3 crystal_system=monoclinic pbc="T T T"
Sm 0.002 4.095 0.003
Sm 3.546 2.049 0.003
Tl -2.322 4.075 3.729
Tl 4.690 0.025 3.729
Tl 1.184 2.050 3.729
Sn 0.000 0.000 0.000
S 3.526 2.097 5.968
S 2.391 4.141 1.521
S -1.159 2.002 1.490
S 0.054 4.102 5.968
S -0.024 -0.041 5.937
S 2.313 -0.003 1.490

***

4.
6
Lattice="-2.465 -2.350 -2.328 0.566 -3.160 2.591 -11.165 4.208 7.571" Properties=species:S:1:pos:R:3 comment="Sr2SmS3 PBE-GGA relaxed" final_energy_ev_per_atom=-5.34 spacegroup="No. 123" e_form_raw_ev_per_atom=-1.93 de_polymorph_mev_per_atom=137.5 density_g_cm3=2.9 crystal_system=tetragonal pbc="T T T"
Sr -2.285 0.861 1.549
Sr -8.880 3.347 6.022
Sm -0.949 -2.755 0.131
S -3.255 -1.886 1.694
S -9.810 0.584 6.139
S 0.000 0.000 0.000

***

5.
24
Lattice="-5.778 1.645 4.029 -2.094 -1.174 -6.824 2.294 -12.344 3.985" Properties=species:S:1:pos:R:3 comment="Sr2SmS3 PBE-GGA relaxed" final_energy_ev_per_atom=-5.48 spacegroup="No. 70" e_form_raw_ev_per_atom=-2.07 de_polymorph_mev_per_atom=0.0 density_g_cm3=4.5 crystal_system=orthorhombic pbc="T T T"
Sr -4.527 -11.259 4.596
Sr -1.371 -10.113 2.161
Sr -3.981 -7.229 3.735
Sr -0.825 -6.082 1.300
Sr -4.753 -5.792 -0.109
Sr -3.439 -3.236 2.882
Sr -4.207 -1.761 -0.971
Sr -2.893 0.795 2.021
Sm -5.305 -9.858 0.760
Sm -2.141 -8.658 -1.687
Sm -1.595 -4.626 -2.549
Sm -0.273 -2.016 0.431
S -0.469 -10.757 -0.653
S -2.254 -9.319 4.943
S 0.894 -8.229 2.519
S -3.098 -8.022 0.953
S 0.002 -6.753 -1.454
S -3.738 -6.530 -2.782
S -2.435 -3.886 0.104
S -6.518 -3.610 -1.196
S -5.211 -1.111 1.807
S -3.222 -2.561 -3.716
S -1.870 0.112 -0.664
S -6.002 0.359 -2.131

***

6.
28
Lattice="-3.536 0.588 1.989 0.942 -10.909 4.900 7.320 5.718 11.321" Properties=species:S:1:pos:R:3 comment="SrSm2S4 PBE-GGA relaxed" final_energy_ev_per_atom=-6.04 spacegroup="No. 62" e_form_raw_ev_per_atom=-2.10 de_polymorph_mev_per_atom=0.0 density_g_cm3=4.8 crystal_system=orthorhombic pbc="T T T"
Sr 2.321 -6.103 8.042
Sr 2.405 1.500 10.168
Sr 0.516 -1.690 3.530
Sr 4.210 -2.913 14.681
Sm 3.964 4.646 12.008
Sm 0.763 -9.249 6.202
Sm 2.339 -2.445 11.217
Sm 2.387 -2.158 6.993
Sm 6.072 0.620 12.723
Sm -1.346 -5.223 5.488
Sm 4.414 -6.498 11.878
Sm 0.313 1.895 6.332
S -1.971 0.067 2.813
S 6.697 -4.670 15.397
S 0.945 -3.478 9.044
S 3.782 -1.125 9.167
S 3.525 -6.256 14.452
S 1.201 1.653 3.759
S 3.545 -0.419 12.761
S 1.182 -4.185 5.450
S -2.159 -3.371 3.496
S 6.885 -1.232 14.715
S 1.665 -6.207 11.132
S 3.061 1.604 7.079
S 5.293 2.472 10.790
S -0.567 -7.075 7.420
S 4.794 -3.740 11.740
S -0.068 -0.863 6.470

***

7.
22
Lattice="-2.250 -3.156 -1.060 6.466 -2.356 0.905 -4.123 -3.709 19.800" Properties=species:S:1:pos:R:3 comment="SrSm4S6 PBE-GGA relaxed" final_energy_ev_per_atom=-6.18 spacegroup="No. 63" e_form_raw_ev_per_atom=-2.06 density_g_cm3=5.3 crystal_system=orthorhombic pbc="T T T"
Sr -0.471 -3.746 4.538
Sr 0.564 -5.475 15.107
Sm 0.519 -6.440 10.457
Sm 3.796 -3.673 2.880
Sm -0.427 -2.781 9.188
Sm -3.703 -5.548 16.765
Sm -1.203 -7.989 18.728
Sm 1.296 -1.232 0.917
Sm -2.714 -4.658 12.017
Sm 2.807 -4.563 7.628
S -1.125 -1.578 -0.530
S -3.186 -3.433 9.370
S -0.930 -1.593 6.717
S 1.022 -7.628 12.928
S 0.300 -8.278 16.397
S -0.207 -0.943 3.248
S 0.056 -5.239 7.865
S 0.037 -3.982 11.780
S -1.313 -5.197 18.265
S 1.406 -4.024 1.380
S 2.371 -3.433 5.189
S -2.279 -5.788 14.456

***

8.
14
Lattice="7.474 0.005 0.000 -2.502 7.042 0.000 -2.486 -3.524 6.104" Properties=species:S:1:pos:R:3 comment="SrSm2S4 PBE-GGA relaxed" final_energy_ev_per_atom=-6.03 spacegroup="No. 122" e_form_raw_ev_per_atom=-2.08 de_polymorph_mev_per_atom=15.9 density_g_cm3=5.3 crystal_system=tetragonal pbc="T T T"
Sr 3.737 0.003 3.052
Sr 2.486 3.524 0.000
Sm -1.249 2.200 0.763
Sm 1.241 3.083 3.815
Sm -2.496 3.080 5.341
Sm -2.500 5.721 2.289
S 1.704 -1.843 4.566
S -2.033 -1.846 4.590
S 1.429 0.990 1.514
S -0.955 1.314 3.649
S 2.782 1.317 5.507
S 0.178 4.511 1.538
S 4.044 3.065 2.455
S 2.793 6.586 0.597

***

9.
14
Lattice="4.046 0.000 0.000 -2.023 6.676 0.000 0.000 0.000 13.645" Properties=species:S:1:pos:R:3 comment="SrSm2S4 PBE-GGA relaxed" final_energy_ev_per_atom=-6.03 spacegroup="No. 63" e_form_raw_ev_per_atom=-2.09 de_polymorph_mev_per_atom=10.0 density_g_cm3=4.7 crystal_system=orthorhombic pbc="T T T"
Sr 2.023 1.505 10.233
Sr 0.000 5.171 3.411
Sm 0.000 1.786 5.861
Sm 2.023 4.890 12.683
Sm 0.000 1.786 0.961
Sm 2.023 4.890 7.784
S 2.023 3.603 1.583
S 2.023 3.603 5.239
S 0.000 3.073 12.061
S 0.000 3.073 8.406
S 2.023 6.080 10.233
S 0.000 0.597 3.411
S 2.023 0.000 0.000
S 2.023 0.000 6.822

***

10.
6
Lattice="-2.345 3.381 0.568 -3.216 -2.904 4.007 6.679 1.703 2.248" Properties=species:S:1:pos:R:3 comment="Sr2SmS3 PBE-GGA relaxed" final_energy_ev_per_atom=-5.47 spacegroup="No. 71" e_form_raw_ev_per_atom=-2.06 de_polymorph_mev_per_atom=9.6 density_g_cm3=4.5 crystal_system=orthorhombic pbc="T T T"
Sr -3.538 0.673 4.168
Sr 4.655 1.507 2.655
Sm 0.559 1.090 3.412
S -1.840 2.170 2.268
S 2.958 0.011 4.555
S 2.167 2.542 1.408

***

Which formula does entry 2 have?
Sm6SnTe3S2